A:
Compound: BaLa2Tm
Source: the Alexandria database
Functional: PBE-GGA
Structure: optimized geometry

N(E_F) = 20.95 states/eV per cell

Unit cell a=3.7098 b=3.7098 c=39.7039 alpha=90.00 beta=90.00 gamma=120.00
Last column: nearest neighbours and their distance in Å.
Space group R-3m (No. 166, hexagonal axes)
One atom of each set of equivalent atoms:
1 Ba 0.0000 0.0000 0.0000 (multiplicity 3)  6 Ba 3.71, 2 La 3.75
2 La 0.0000 0.0000 0.0944 (multiplicity 6)  3 Tm 3.58, 6 La 3.71, 1 Ba 3.75
3 Tm 0.0000 0.0000 0.5000 (multiplicity 3)  6 La 3.58, 6 Tm 3.71

=====

B:
Compound: BaLa2Tm
Source: the Alexandria database
Functional: PBE-GGA
Structure: optimized geometry

N(E_F) = 5.64 states/eV per cell

Unit cell a=3.8371 b=3.8371 c=10.8094 alpha=90.00 beta=90.00 gamma=90.00
Last column: nearest neighbours and their distance in Å.
Space group P4/mmm (No. 123)
One atom of each set of equivalent atoms:
1 Ba 0.0000 0.0000 0.0000 (multiplicity 1)  4 Ba 3.84, 8 La 4.12
2 La 0.5000 0.5000 0.2867 (multiplicity 2)  4 Tm 3.56, 4 La 3.84
3 Tm 0.0000 0.0000 0.5000 (multiplicity 1)  8 La 3.56, 4 Tm 3.84

=====

Among the structures above, stability is greatest for B.